VASP calculation (PBE with a Hubbard U) on PaCoNO after structural relaxation.

Unit cell a=3.579 b=3.579 c=7.305 alpha=90.00 beta=90.00 gamma=90.00
Element x y z (fractional)
1 Co 0.750 0.250 0.500
2 Co 0.250 0.750 0.500
3 N 0.750 0.750 0.345
4 N 0.250 0.250 0.655
5 O 0.750 0.250 0.000
6 O 0.250 0.750 0.000
7 Pa 0.250 0.250 0.204
8 Pa 0.750 0.750 0.796

Calculated values
**Energy relative to the lowest polymorph listed for this composition**: 1054 meV per atom
**Space-group type**: P4/nmm (129)
**Mass density**: 11.4 g/cm3
**DFT total energy**: -62.010 eV/cell
**M_tot**: 0.251 μB per atom